No. 1
VASP calculation (PBE) on a geometry-optimized Cs2GaSe structure.

The structure in extended XYZ format:
```
4
Lattice="0.000 4.347 4.347 4.347 0.000 4.347 4.347 4.347 0.000" Properties=species:S:1:pos:R:3 pbc="T T T"
Cs 2.173 2.173 2.173
Cs 6.520 6.520 6.520
Ga 0.000 0.000 0.000
Se 4.347 4.347 4.347
```

Summary:
The formation energy (no corrections) is -0.278 eV per atom. The density of states at the Fermi level is 3.62 states/eV per cell. The energy above the most stable polymorph in this dataset comes out at 71 meV/atom. The density is 4.190 g/cm³. The value obtained for the energy is -2.3328 eV/atom.



No. 2
VASP calculation (PBE) on a geometry-optimized Bi2PbO structure.

The structure in extended XYZ format:
```
4
Lattice="0.000 3.653 3.653 3.653 0.000 3.653 3.653 3.653 0.000" Properties=species:S:1:pos:R:3 pbc="T T T"
Pb 3.653 3.653 3.653
Bi 1.827 1.827 1.827
Bi 5.480 5.480 5.480
O 0.000 0.000 0.000
```

Summary:
The formation energy (no corrections) is 0.235 eV per atom. The density of states at the Fermi level is 2.10 states/eV per cell. The energy above the most stable polymorph in this dataset comes out at 458 meV/atom. The density is 10.919 g/cm³. The value obtained for the energy is -3.8725 eV/atom.



No. 3
VASP calculation (PBE) on a geometry-optimized UNb2WC4 structure.

The structure in extended XYZ format:
```
16
Lattice="3.232 0.000 0.000 -1.616 5.728 0.000 0.000 0.000 11.226" Properties=species:S:1:pos:R:3 pbc="T T T"
U 0.000 1.363 8.420
U 1.616 4.365 2.807
Nb 0.000 4.253 6.003
Nb 1.616 1.475 0.390
Nb 1.616 1.475 5.223
Nb 0.000 4.253 10.836
W 1.616 4.046 8.420
W 0.000 1.682 2.807
C 0.000 3.028 1.312
C 1.616 2.700 6.925
C 1.616 2.700 9.914
C 0.000 3.028 4.301
C 0.000 0.000 5.613
C 0.000 0.000 0.000
C 0.000 5.303 8.420
C 1.616 0.425 2.807
```

Summary:
Its energy relative to the elements is -0.136 eV/atom. The density of states at the Fermi level is 11.18 states/eV per cell. The density is 10.477 g/cm³. The value obtained for the energy is -10.2951 eV/atom.



No. 4
VASP calculation (PBE) on a geometry-optimized Cd2CoTe structure.

The structure in extended XYZ format:
```
4
Lattice="5.010 0.008 0.004 4.019 2.992 0.004 2.199 0.731 6.135" Properties=species:S:1:pos:R:3 pbc="T T T"
Cd 9.117 3.029 0.316
Cd 2.519 0.837 2.017
Co 4.980 1.654 2.494
Te 9.256 3.075 4.395
```

Summary:
The formation energy (no corrections) is 0.084 eV per atom. The density of states at the Fermi level is 2.00 states/eV per cell. The density is 7.446 g/cm³. The value obtained for the energy is -2.9355 eV/atom.